Compound: Si4AgAu
Source: the Alexandria database
Functional: meta-GGA SCAN
Structure: PBEsol geometry

Properties
M_tot = 0.0 μB/f.u.
DOS(E_F) = 2.5 states/eV/cell
crystal system = cubic
SG = F-43m (216)
ΔE_f (raw) = 660.3 meV/atom
DFT total energy = -136.625 eV per cell

a b c (Å): 5.133 5.133 5.133
angles (deg): 60.00 60.00 60.00
Atoms (fractional coordinates):
Si 0.125 0.125 0.125
Si 0.125 0.125 0.625
Si 0.125 0.625 0.125
Si 0.625 0.125 0.125
Ag 0.500 0.500 0.500
Au 0.750 0.750 0.750